No. 1
{"formula": "GaTcO3", "functional": "PBE-GGA", "state": "relaxed", "cell": [[3.882, 0.000, 0.000], [0.000, 3.882, 0.000], [0.000, 0.000, 3.886]], "species": ["Ga", "Tc", "O", "O", "O"], "frac_coords": [[0.000, 0.000, 0.000], [0.500, 0.500, 0.511], [0.000, 0.500, 0.514], [0.500, 0.000, 0.514], [0.500, 0.500, 0.013]], "total_energy_ev_per_atom": -6.72, "magmom_total_mub_per_atom": 0.001}

***

No. 2
{"formula": "NaZrAuSe3", "functional": "PBE-GGA", "state": "relaxed", "cell": [[12.041, 0.000, 0.000], [0.000, 3.926, 0.000], [0.000, 0.000, 12.050]], "species": ["Na", "Na", "Na", "Na", "Zr", "Zr", "Zr", "Zr", "Au", "Au", "Au", "Au", "Se", "Se", "Se", "Se", "Se", "Se", "Se", "Se", "Se", "Se", "Se", "Se"], "frac_coords": [[0.162, 0.250, 0.015], [0.338, 0.750, 0.515], [0.662, 0.250, 0.485], [0.838, 0.750, 0.985], [0.056, 0.250, 0.328], [0.444, 0.750, 0.828], [0.556, 0.250, 0.172], [0.944, 0.750, 0.672], [0.245, 0.750, 0.194], [0.255, 0.250, 0.694], [0.745, 0.750, 0.306], [0.755, 0.250, 0.806], [0.033, 0.750, 0.167], [0.078, 0.250, 0.575], [0.235, 0.750, 0.853], [0.265, 0.250, 0.353], [0.422, 0.750, 0.075], [0.467, 0.250, 0.667], [0.533, 0.750, 0.333], [0.578, 0.250, 0.925], [0.735, 0.750, 0.647], [0.765, 0.250, 0.147], [0.922, 0.750, 0.425], [0.967, 0.250, 0.833]], "total_energy_ev_per_atom": -4.82, "magmom_total_mub_per_atom": 0.000}

***

No. 3
{"formula": "Y4Hf2Cu3C3", "functional": "PBE-GGA", "state": "relaxed", "cell": [[5.269, -3.039, 0.000], [5.269, 3.039, 0.000], [-3.411, 0.000, 13.703]], "species": ["Y", "Y", "Y", "Y", "Y", "Y", "Y", "Y", "Hf", "Hf", "Hf", "Hf", "Cu", "Cu", "Cu", "Cu", "Cu", "Cu", "C", "C", "C", "C", "C", "C"], "frac_coords": [[0.044, 0.192, 0.107], [0.121, 0.300, 0.393], [0.192, 0.044, 0.607], [0.300, 0.121, 0.893], [0.700, 0.879, 0.107], [0.808, 0.956, 0.393], [0.879, 0.700, 0.607], [0.956, 0.808, 0.893], [0.346, 0.526, 0.079], [0.474, 0.654, 0.421], [0.526, 0.346, 0.579], [0.654, 0.474, 0.921], [0.172, 0.828, 0.250], [0.343, 0.413, 0.750], [0.413, 0.343, 0.250], [0.587, 0.657, 0.750], [0.657, 0.587, 0.250], [0.828, 0.172, 0.750], [0.000, 0.500, 0.000], [0.194, 0.653, 0.500], [0.347, 0.806, 0.000], [0.500, 0.000, 0.500], [0.653, 0.194, 0.000], [0.806, 0.347, 0.500]], "total_energy_ev_per_atom": -7.37, "magmom_total_mub_per_atom": 0.001}

***

No. 4
{"formula": "TcCl2", "functional": "PBE-GGA", "state": "relaxed", "cell": [[0.000, 5.214, 5.214], [5.214, 0.000, 5.214], [5.214, 5.214, 0.000]], "species": ["Tc", "Tc", "Cl", "Cl", "Cl", "Cl"], "frac_coords": [[0.125, 0.125, 0.125], [0.875, 0.875, 0.875], [0.000, 0.000, 0.000], [0.000, 0.000, 0.500], [0.000, 0.500, 0.000], [0.500, 0.000, 0.000]], "total_energy_ev_per_atom": -4.55, "magmom_total_mub_per_atom": 0.006}

***

No. 5
{"formula": "Cd3HgPt", "functional": "PBE-GGA", "state": "relaxed", "cell": [[8.887, 0.000, 0.000], [-4.444, 7.697, 0.000], [0.000, 0.000, 5.465]], "species": ["Cd", "Cd", "Cd", "Cd", "Cd", "Cd", "Cd", "Cd", "Cd", "Hg", "Hg", "Hg", "Pt", "Pt", "Pt"], "frac_coords": [[0.000, 0.500, 0.000], [0.167, 0.333, 0.333], [0.167, 0.833, 0.333], [0.333, 0.167, 0.667], [0.500, 0.000, 0.000], [0.500, 0.500, 0.000], [0.667, 0.833, 0.333], [0.833, 0.167, 0.667], [0.833, 0.667, 0.667], [0.000, 0.000, 0.000], [0.333, 0.667, 0.667], [0.667, 0.333, 0.333], [0.000, 0.000, 0.500], [0.333, 0.667, 0.167], [0.667, 0.333, 0.833]], "total_energy_ev_per_atom": -2.02, "magmom_total_mub_per_atom": 0.000}

***

No. 6
{"formula": "TbPr2Mg3AgAu2", "functional": "PBE-GGA", "state": "relaxed", "cell": [[4.120, 0.000, 0.000], [0.000, 6.786, 3.930], [0.000, -6.786, 3.930]], "species": ["Tb", "Pr", "Pr", "Mg", "Mg", "Mg", "Ag", "Au", "Au"], "frac_coords": [[0.000, 0.000, 0.000], [0.000, 0.416, 0.831], [0.000, 0.831, 0.416], [0.500, 0.168, 0.411], [0.500, 0.411, 0.168], [0.500, 0.664, 0.664], [0.000, 0.411, 0.411], [0.500, 0.080, 0.758], [0.500, 0.758, 0.080]], "total_energy_ev_per_atom": -3.67, "magmom_total_mub_per_atom": 0.001}

***

No. 7
{"formula": "PrNiSnAsIr", "functional": "PBE-GGA", "state": "relaxed", "cell": [[4.327, 0.000, 0.000], [0.000, 4.327, 0.000], [0.000, 0.000, 10.427]], "species": ["Pr", "Pr", "Ni", "Ni", "Sn", "Sn", "As", "As", "Ir", "Ir"], "frac_coords": [[0.250, 0.250, 0.222], [0.750, 0.750, 0.778], [0.250, 0.750, 0.000], [0.750, 0.250, 0.000], [0.250, 0.750, 0.500], [0.750, 0.250, 0.500], [0.250, 0.250, 0.887], [0.750, 0.750, 0.113], [0.250, 0.250, 0.653], [0.750, 0.750, 0.347]], "total_energy_ev_per_atom": -6.27, "magmom_total_mub_per_atom": 0.000}

***

No. 8
{"formula": "PrPuTl", "functional": "PBE-GGA", "state": "relaxed", "cell": [[7.516, 0.000, 0.000], [0.000, 7.516, 0.000], [0.000, 0.000, 7.516]], "species": ["Pr", "Pr", "Pr", "Pr", "Pu", "Pu", "Pu", "Pu", "Tl", "Tl", "Tl", "Tl"], "frac_coords": [[0.000, 0.000, 0.000], [0.000, 0.500, 0.500], [0.500, 0.000, 0.500], [0.500, 0.500, 0.000], [0.000, 0.000, 0.500], [0.000, 0.500, 0.000], [0.500, 0.000, 0.000], [0.500, 0.500, 0.500], [0.250, 0.250, 0.250], [0.250, 0.750, 0.750], [0.750, 0.250, 0.750], [0.750, 0.750, 0.250]], "total_energy_ev_per_atom": -6.93, "magmom_total_mub_per_atom": 2.199}

***

No. 9
{"formula": "YMgTaFe", "functional": "PBE-GGA", "state": "relaxed", "cell": [[6.705, 0.000, 0.000], [0.000, 6.705, 0.000], [0.000, 0.000, 6.705]], "species": ["Y", "Y", "Y", "Y", "Mg", "Mg", "Mg", "Mg", "Ta", "Ta", "Ta", "Ta", "Fe", "Fe", "Fe", "Fe"], "frac_coords": [[0.000, 0.000, 0.000], [0.000, 0.500, 0.500], [0.500, 0.000, 0.500], [0.500, 0.500, 0.000], [0.250, 0.250, 0.250], [0.250, 0.750, 0.750], [0.750, 0.250, 0.750], [0.750, 0.750, 0.250], [0.000, 0.000, 0.500], [0.000, 0.500, 0.000], [0.500, 0.000, 0.000], [0.500, 0.500, 0.500], [0.250, 0.250, 0.750], [0.250, 0.750, 0.250], [0.750, 0.250, 0.250], [0.750, 0.750, 0.750]], "total_energy_ev_per_atom": -6.69, "magmom_total_mub_per_atom": 0.040}

***

No. 10
{"formula": "NaPrNi", "functional": "PBE-GGA", "state": "relaxed", "cell": [[6.770, 0.000, 0.000], [0.000, 6.770, 0.000], [0.000, 0.000, 6.770]], "species": ["Na", "Na", "Na", "Na", "Pr", "Pr", "Pr", "Pr", "Ni", "Ni", "Ni", "Ni"], "frac_coords": [[0.000, 0.000, 0.000], [0.000, 0.500, 0.500], [0.500, 0.000, 0.500], [0.500, 0.500, 0.000], [0.000, 0.000, 0.500], [0.000, 0.500, 0.000], [0.500, 0.000, 0.000], [0.500, 0.500, 0.500], [0.250, 0.250, 0.250], [0.250, 0.750, 0.750], [0.750, 0.250, 0.750], [0.750, 0.750, 0.250]], "total_energy_ev_per_atom": -3.71, "magmom_total_mub_per_atom": 0.000}

***

No. 11
{"formula": "KTbHg3S4", "functional": "PBE-GGA", "state": "relaxed", "cell": [[6.271, 0.000, 0.000], [0.000, 7.570, 0.000], [-0.865, 0.000, 12.134]], "species": ["K", "K", "Tb", "Tb", "Hg", "Hg", "Hg", "Hg", "Hg", "Hg", "S", "S", "S", "S", "S", "S", "S", "S"], "frac_coords": [[0.012, 0.250, 0.146], [0.988, 0.750, 0.854], [0.363, 0.750, 0.295], [0.637, 0.250, 0.705], [0.179, 0.250, 0.815], [0.308, 0.523, 0.548], [0.308, 0.977, 0.548], [0.692, 0.023, 0.452], [0.692, 0.477, 0.452], [0.821, 0.750, 0.185], [0.037, 0.750, 0.445], [0.156, 0.750, 0.102], [0.395, 0.518, 0.763], [0.395, 0.982, 0.763], [0.605, 0.018, 0.237], [0.605, 0.482, 0.237], [0.844, 0.250, 0.898], [0.963, 0.250, 0.555]], "total_energy_ev_per_atom": -3.26, "magmom_total_mub_per_atom": 0.000}

***

No. 12
{"formula": "PrCdPt", "functional": "PBE-GGA", "state": "relaxed", "cell": [[6.838, 0.000, 0.000], [0.000, 6.838, 0.000], [0.000, 0.000, 6.838]], "species": ["Pr", "Pr", "Pr", "Pr", "Cd", "Cd", "Cd", "Cd", "Pt", "Pt", "Pt", "Pt"], "frac_coords": [[0.000, 0.000, 0.000], [0.000, 0.500, 0.500], [0.500, 0.000, 0.500], [0.500, 0.500, 0.000], [0.000, 0.000, 0.500], [0.000, 0.500, 0.000], [0.500, 0.000, 0.000], [0.500, 0.500, 0.500], [0.250, 0.250, 0.750], [0.250, 0.750, 0.250], [0.750, 0.250, 0.250], [0.750, 0.750, 0.750]], "total_energy_ev_per_atom": -4.63, "magmom_total_mub_per_atom": 0.001}